VASP calculation (PBE+U) on crystalline ErV2CrO8 at its relaxed geometry.

Structure (CIF):
```
data_ErV2CrO8
_chemical_formula_sum 'Er2 V4 Cr2 O16'
_space_group_name_H-M_alt 'I -4 m 2'
_space_group_IT_number 119
_space_group_name_Hall 'I -4 -2'
_cell_length_a 6.899
_cell_length_b 6.899
_cell_length_c 6.300
_cell_angle_alpha 90.00
_cell_angle_beta 90.00
_cell_angle_gamma 90.00
loop_
_atom_site_label
_atom_site_type_symbol
_atom_site_fract_x
_atom_site_fract_y
_atom_site_fract_z
Er1 Er 0.000 0.000 0.000
V1 V 0.000 0.000 0.500
V2 V 0.000 0.500 0.250
Cr1 Cr 0.000 0.500 0.750
O1 O 0.000 0.198 0.676
O2 O 0.000 0.311 0.071
```

Calculated values
Calculated total energy: -7.6934 eV per atom
Spin magnetization: 5.95 μB per cell
Crystal system: tetragonal
Mass density: 4.974 g/cm³